1.
## NiWSe2 (PBE)

Data for an optimized crystal structure of NiWSe2.

```
data_NiWSe2
_space_group_name_H-M_alt 'R -3 m'
_space_group_IT_number 166
_space_group_name_Hall '-R 3 2"'
_cell_length_a 3.2357
_cell_length_b 3.2357
_cell_length_c 24.0682
_cell_angle_alpha 90.00
_cell_angle_beta 90.00
_cell_angle_gamma 120.00
loop_
_atom_site_label
_atom_site_type_symbol
_atom_site_fract_x
_atom_site_fract_y
_atom_site_fract_z
Ni1 Ni 0.0000 0.0000 0.0000
W1 W 0.0000 0.0000 0.5000
Se1 Se 0.0000 0.0000 0.0937
```

Results
- Total magnetic moment: 0.017 μB/atom
- Theoretical density: 9142 kg/m³
- E: -6.337 eV per atom
- E above lowest polymorph: 241 meV per atom

---

2.
## NiWSe2 (PBE)

Data for an optimized crystal structure of NiWSe2.

```
data_NiWSe2
_space_group_name_H-M_alt 'I m m 2'
_space_group_IT_number 44
_space_group_name_Hall 'I 2 -2'
_cell_length_a 3.3325
_cell_length_b 3.3732
_cell_length_c 13.7114
_cell_angle_alpha 90.00
_cell_angle_beta 90.00
_cell_angle_gamma 90.00
loop_
_atom_site_label
_atom_site_type_symbol
_atom_site_fract_x
_atom_site_fract_y
_atom_site_fract_z
Ni1 Ni 0.0000 0.0000 0.0000
W1 W 0.0000 0.5000 0.1418
Se1 Se 0.0000 0.0000 0.4934
Se2 Se 0.0000 0.5000 0.7320
```

Results
- Total magnetic moment: 0.000 μB/atom
- Theoretical density: 8629 kg/m³
- E: -6.425 eV per atom
- E above lowest polymorph: 153 meV per atom

---

3.
## Ni2WSe (PBE)

Data for an optimized crystal structure of Ni2WSe.

```
data_Ni2WSe
_space_group_name_H-M_alt 'P m m m'
_space_group_IT_number 47
_space_group_name_Hall '-P 2 2'
_cell_length_a 3.2098
_cell_length_b 3.4046
_cell_length_c 5.0803
_cell_angle_alpha 90.00
_cell_angle_beta 90.00
_cell_angle_gamma 90.00
loop_
_atom_site_label
_atom_site_type_symbol
_atom_site_fract_x
_atom_site_fract_y
_atom_site_fract_z
Ni1 Ni 0.0000 0.0000 0.2363
W1 W 0.5000 0.5000 0.0000
Se1 Se 0.5000 0.5000 0.5000
```

Results
- Total magnetic moment: 0.000 μB/atom
- Theoretical density: 11371 kg/m³
- E: -6.781 eV per atom

---

4.
## Ni2WSe (PBE)

Data for an optimized crystal structure of Ni2WSe.

```
data_Ni2WSe
_space_group_name_H-M_alt 'I -4 2 d'
_space_group_IT_number 122
_space_group_name_Hall 'I -4 2bw'
_cell_length_a 6.7251
_cell_length_b 6.7251
_cell_length_c 5.0138
_cell_angle_alpha 90.00
_cell_angle_beta 90.00
_cell_angle_gamma 90.00
loop_
_atom_site_label
_atom_site_type_symbol
_atom_site_fract_x
_atom_site_fract_y
_atom_site_fract_z
Ni1 Ni 0.2300 0.2500 0.1250
W1 W 0.0000 0.0000 0.5000
Se1 Se 0.0000 0.0000 0.0000
```

Results
- Total magnetic moment: 0.000 μB/atom
- Theoretical density: 11136 kg/m³
- E: -6.683 eV per atom

---

5.
## NiWSe2 (PBE)

Data for an optimized crystal structure of NiWSe2.

```
data_NiWSe2
_space_group_name_H-M_alt 'C 1 2/m 1'
_space_group_IT_number 12
_space_group_name_Hall '-C 2y'
_cell_length_a 8.1616
_cell_length_b 3.2137
_cell_length_c 5.1446
_cell_angle_alpha 90.00
_cell_angle_beta 94.72
_cell_angle_gamma 90.00
loop_
_atom_site_label
_atom_site_type_symbol
_atom_site_fract_x
_atom_site_fract_y
_atom_site_fract_z
Ni1 Ni 0.0000 0.0000 0.0000
W1 W 0.0000 0.5000 0.5000
Se1 Se 0.2078 0.0000 0.7315
```

Results
- Total magnetic moment: 0.000 μB/atom
- Theoretical density: 9890 kg/m³
- E: -6.227 eV per atom
- E above lowest polymorph: 351 meV per atom

---

6.
## Ni2WSe (PBE)

Data for an optimized crystal structure of Ni2WSe.

```
data_Ni2WSe
_space_group_name_H-M_alt 'I 4/m m m'
_space_group_IT_number 139
_space_group_name_Hall '-I 4 2'
_cell_length_a 3.6978
_cell_length_b 3.6978
_cell_length_c 7.9609
_cell_angle_alpha 90.00
_cell_angle_beta 90.00
_cell_angle_gamma 90.00
loop_
_atom_site_label
_atom_site_type_symbol
_atom_site_fract_x
_atom_site_fract_y
_atom_site_fract_z
Ni1 Ni 0.0000 0.5000 0.2500
W1 W 0.0000 0.0000 0.0000
Se1 Se 0.0000 0.0000 0.5000
```

Results
- Total magnetic moment: 0.000 μB/atom
- Theoretical density: 11599 kg/m³
- E: -6.522 eV per atom

---

7.
## Ni2WSe (PBE)

Data for an optimized crystal structure of Ni2WSe.

```
data_Ni2WSe
_space_group_name_H-M_alt 'I m m m'
_space_group_IT_number 71
_space_group_name_Hall '-I 2 2'
_cell_length_a 2.9487
_cell_length_b 4.2737
_cell_length_c 8.5710
_cell_angle_alpha 90.00
_cell_angle_beta 90.00
_cell_angle_gamma 90.00
loop_
_atom_site_label
_atom_site_type_symbol
_atom_site_fract_x
_atom_site_fract_y
_atom_site_fract_z
Ni1 Ni 0.0000 0.0000 0.2335
W1 W 0.0000 0.5000 0.0000
Se1 Se 0.0000 0.5000 0.5000
```

Results
- Total magnetic moment: 0.000 μB/atom
- Theoretical density: 11690 kg/m³
- E: -6.698 eV per atom

---

8.
## NiWSe3 (PBE)

Data for an optimized crystal structure of NiWSe3.

```
data_NiWSe3
_space_group_name_H-M_alt 'A m a 2'
_space_group_IT_number 40
_space_group_name_Hall 'A 2 -2a'
_cell_length_a 3.4359
_cell_length_b 22.8029
_cell_length_c 6.0292
_cell_angle_alpha 90.00
_cell_angle_beta 90.00
_cell_angle_gamma 90.00
loop_
_atom_site_label
_atom_site_type_symbol
_atom_site_fract_x
_atom_site_fract_y
_atom_site_fract_z
Ni1 Ni 0.2500 0.1385 0.0000
W1 W 0.2500 0.3341 0.1657
Se1 Se 0.2500 0.1281 0.3878
Se2 Se 0.2500 0.2324 0.8514
Se3 Se 0.2500 0.4227 0.3874
```

Results
- Total magnetic moment: 0.000 μB/atom
- Theoretical density: 6741 kg/m³
- E: -6.118 eV per atom
- E above lowest polymorph: 0 meV per atom

---

9.
## NiWSe2 (PBE)

Data for an optimized crystal structure of NiWSe2.

```
data_NiWSe2
_space_group_name_H-M_alt 'I m m m'
_space_group_IT_number 71
_space_group_name_Hall '-I 2 2'
_cell_length_a 3.5784
_cell_length_b 3.6809
_cell_length_c 13.8720
_cell_angle_alpha 90.00
_cell_angle_beta 90.00
_cell_angle_gamma 90.00
loop_
_atom_site_label
_atom_site_type_symbol
_atom_site_fract_x
_atom_site_fract_y
_atom_site_fract_z
Ni1 Ni 0.0000 0.0000 0.0000
W1 W 0.0000 0.0000 0.5000
Se1 Se 0.0000 0.5000 0.1301
```

Results
- Total magnetic moment: 0.000 μB/atom
- Theoretical density: 7279 kg/m³
- E: -6.355 eV per atom
- E above lowest polymorph: 222 meV per atom

---

10.
## NiW2Se2 (PBE)

Data for an optimized crystal structure of NiW2Se2.

```
data_NiW2Se2
_space_group_name_H-M_alt 'I 4/m m m'
_space_group_IT_number 139
_space_group_name_Hall '-I 4 2'
_cell_length_a 4.8795
_cell_length_b 4.8795
_cell_length_c 7.8850
_cell_angle_alpha 90.00
_cell_angle_beta 90.00
_cell_angle_gamma 90.00
loop_
_atom_site_label
_atom_site_type_symbol
_atom_site_fract_x
_atom_site_fract_y
_atom_site_fract_z
Ni1 Ni 0.0000 0.0000 0.0000
W1 W 0.0000 0.0000 0.3537
Se1 Se 0.0000 0.5000 0.2500
```

Results
- Total magnetic moment: 0.000 μB/atom
- Theoretical density: 10336 kg/m³
- E: -7.015 eV per atom
- E above lowest polymorph: 160 meV per atom

---

11.
## NiWSe2 (PBE)

Data for an optimized crystal structure of NiWSe2.

```
data_NiWSe2
_space_group_name_H-M_alt 'C 1 m 1'
_space_group_IT_number 8
_space_group_name_Hall 'C -2y'
_cell_length_a 8.9417
_cell_length_b 3.3263
_cell_length_c 6.5342
_cell_angle_alpha 90.00
_cell_angle_beta 94.11
_cell_angle_gamma 90.00
loop_
_atom_site_label
_atom_site_type_symbol
_atom_site_fract_x
_atom_site_fract_y
_atom_site_fract_z
Ni1 Ni 0.0000 0.0000 0.0000
W1 W 0.2108 0.5000 0.0057
Se1 Se 0.1594 0.0000 0.7257
Se2 Se 0.3909 0.0000 0.2096
```

Results
- Total magnetic moment: 0.000 μB/atom
- Theoretical density: 6861 kg/m³
- E: -6.378 eV per atom
- E above lowest polymorph: 200 meV per atom

---

12.
## Ni2WSe6 (PBE)

Data for an optimized crystal structure of Ni2WSe6.

```
data_Ni2WSe6
_space_group_name_H-M_alt 'P 1 21/c 1'
_space_group_IT_number 14
_space_group_name_Hall '-P 2ybc'
_cell_length_a 6.1487
_cell_length_b 5.2859
_cell_length_c 12.3691
_cell_angle_alpha 90.00
_cell_angle_beta 119.26
_cell_angle_gamma 90.00
loop_
_atom_site_label
_atom_site_type_symbol
_atom_site_fract_x
_atom_site_fract_y
_atom_site_fract_z
Ni1 Ni 0.1768 0.0050 0.1736
W1 W 0.5000 0.0000 0.0000
Se1 Se 0.1543 0.2294 0.3394
Se2 Se 0.1622 0.7450 0.0015
Se3 Se 0.4732 0.2148 0.6583
```

Results
- Total magnetic moment: 0.000 μB/atom
- Theoretical density: 7339 kg/m³
- E: -5.196 eV per atom